(1)
VASP calculation (PBE) on an optimized crystal structure of Nd6SmY2.

The total magnetic moment is 2.1 μB/cell. Its total energy is -4.929 eV per atom. For the energy relative to the lowest polymorph listed for this composition, the calculation gives 82 meV/atom. For the energy of formation from the pure elements, the calculation gives 1.9 eV/f.u. Its density of states at the Fermi level is 14.41 states/eV/f.u.

The space group is C2/m (No. 12) and the conventional cell measures 13.1477, 7.5826 and 6.2891 Å, with angles of 90.00, 90.07 and 90.00 degrees. The distinct sites, in fractional coordinates, are Nd at (0.0940, 0.2183, 0.2079), Nd at (0.1882, 0.5000, 0.7918), Sm at (0.0000, 0.5000, 0.5000) and Y at (0.1664, 0.0000, 0.7122).

(2)
VASP calculation (PBE) on an optimized crystal structure of Nd5SmY8.

The total magnetic moment is 0.0 μB/cell. Its total energy is -5.504 eV per atom. For the energy of formation from the pure elements, the calculation gives 3.2 eV/f.u. Its density of states at the Fermi level is 20.96 states/eV/f.u.

The space group is I-4 (No. 82) and the conventional cell measures 9.6676, 9.6676 and 10.2428 Å, with angles of 90.00, 90.00 and 90.00 degrees. The distinct sites, in fractional coordinates, are Nd at (0.0000, 0.0000, 0.0000), Nd at (0.1100, 0.2140, 0.5770), Sm at (0.0000, 0.5000, 0.2500), Y at (0.0720, 0.3239, 0.9021) and Y at (0.0834, 0.1767, 0.2464).

(3)
VASP calculation (PBE) on an optimized crystal structure of Nd6Sm2Y3.

The total magnetic moment is 0.0 μB/cell. Its total energy is -5.209 eV per atom. For the energy relative to the lowest polymorph listed for this composition, the calculation gives 0 meV/atom. For the energy of formation from the pure elements, the calculation gives 0.1 eV/f.u. Its density of states at the Fermi level is 14.92 states/eV/f.u.

The space group is P-1 (No. 2) and the conventional cell measures 6.3111, 8.1198 and 8.1514 Å, with angles of 107.44, 97.26 and 104.86 degrees. The distinct sites, in fractional coordinates, are Nd at (0.0460, 0.1819, 0.4089), Nd at (0.1363, 0.5460, 0.2287), Nd at (0.3183, 0.2717, 0.8643), Sm at (0.2278, 0.9100, 0.0461), Y at (0.4090, 0.6369, 0.6818) and Y at (0.5000, 0.0000, 0.5000).

(4)
VASP calculation (PBE) on an optimized crystal structure of Nd5Sm6Y2.

The total magnetic moment is 0.0 μB/cell. Its total energy is -4.917 eV per atom. For the energy of formation from the pure elements, the calculation gives 1.2 eV/f.u. Its density of states at the Fermi level is 16.11 states/eV/f.u.

The space group is Pbam (No. 55) and the conventional cell measures 11.8384, 20.8497 and 3.6482 Å, with angles of 90.00, 90.00 and 90.00 degrees. The distinct sites, in fractional coordinates, are Nd at (0.0000, 0.0000, 0.0000), Nd at (0.0882, 0.2742, 0.0000), Nd at (0.1988, 0.5528, 0.0000), Sm at (0.0608, 0.4197, 0.5000), Sm at (0.0809, 0.1326, 0.5000), Sm at (0.1751, 0.8635, 0.0000) and Y at (0.1693, 0.7114, 0.5000).

(5)
VASP calculation (PBE) on an optimized crystal structure of Nd12SmY3.

The total magnetic moment is 0.0 μB/cell. Its total energy is -5.071 eV per atom. For the energy of formation from the pure elements, the calculation gives 0.2 eV/f.u. Its density of states at the Fermi level is 24.75 states/eV/f.u.

The space group is P4/mmm (No. 123) and the conventional cell measures 5.1763, 5.1763 and 20.6346 Å, with angles of 90.00, 90.00 and 90.00 degrees. The distinct sites, in fractional coordinates, are Nd at (0.0000, 0.0000, 0.0000), Nd at (0.0000, 0.0000, 0.2492), Nd at (0.0000, 0.0000, 0.5000), Nd at (0.0000, 0.5000, 0.1247), Nd at (0.0000, 0.5000, 0.3744), Sm at (0.5000, 0.5000, 0.5000), Y at (0.5000, 0.5000, 0.0000) and Y at (0.5000, 0.5000, 0.2493).

(6)
VASP calculation (PBE) on an optimized crystal structure of Nd2SmY5.

The total magnetic moment is 0.0 μB/cell. Its total energy is -5.804 eV per atom. For the energy relative to the lowest polymorph listed for this composition, the calculation gives 0 meV/atom. For the energy of formation from the pure elements, the calculation gives 0.1 eV/f.u. Its density of states at the Fermi level is 11.76 states/eV/f.u.

The space group is Pbam (No. 55) and the conventional cell measures 7.2110, 14.4271 and 5.0943 Å, with angles of 90.00, 90.00 and 90.00 degrees. The distinct sites, in fractional coordinates, are Nd at (0.2504, 0.1251, 0.0000), Sm at (0.0000, 0.0000, 0.5000), Y at (0.0000, 0.5000, 0.5000), Y at (0.0009, 0.2501, 0.5000) and Y at (0.2487, 0.8751, 0.0000).

(7)
VASP calculation (PBE) on an optimized crystal structure of Nd3Sm8Y3.

The total magnetic moment is 0.0 μB/cell. Its total energy is -5.002 eV per atom. For the energy of formation from the pure elements, the calculation gives 1.4 eV/f.u. Its density of states at the Fermi level is 21.12 states/eV/f.u.

The space group is Immm (No. 71) and the conventional cell measures 5.7424, 10.9752 and 15.2335 Å, with angles of 90.00, 90.00 and 90.00 degrees. The distinct sites, in fractional coordinates, are Nd at (0.0000, 0.0000, 0.0000), Nd at (0.0000, 0.5000, 0.3180), Sm at (0.0000, 0.1596, 0.2780), Sm at (0.0000, 0.3395, 0.1030), Y at (0.0000, 0.0000, 0.5000) and Y at (0.0000, 0.2998, 0.5000).

(8)
VASP calculation (PBE) on an optimized crystal structure of Nd3Sm3Y8.

The total magnetic moment is 0.0 μB/cell. Its total energy is -5.609 eV per atom. For the energy relative to the lowest polymorph listed for this composition, the calculation gives 6 meV/atom. For the energy of formation from the pure elements, the calculation gives 1.6 eV/f.u. Its density of states at the Fermi level is 24.05 states/eV/f.u.

The space group is Immm (No. 71) and the conventional cell measures 5.7273, 10.7827 and 15.3482 Å, with angles of 90.00, 90.00 and 90.00 degrees. The distinct sites, in fractional coordinates, are Nd at (0.0000, 0.0000, 0.0000), Nd at (0.0000, 0.3050, 0.0000), Sm at (0.0000, 0.0000, 0.5000), Sm at (0.0000, 0.5000, 0.1862), Y at (0.0000, 0.1606, 0.2204) and Y at (0.0000, 0.3394, 0.3973).

(9)
VASP calculation (PBE) on an optimized crystal structure of Nd5Sm2Y5.

The total magnetic moment is 0.0 μB/cell. Its total energy is -5.452 eV per atom. For the energy relative to the lowest polymorph listed for this composition, the calculation gives 0 meV/atom. For the energy of formation from the pure elements, the calculation gives 0.2 eV/f.u. Its density of states at the Fermi level is 17.60 states/eV/f.u.

The space group is C2/m (No. 12) and the conventional cell measures 15.3774, 5.1341 and 11.4633 Å, with angles of 90.00, 116.60 and 90.00 degrees. The distinct sites, in fractional coordinates, are Nd at (0.0000, 0.0000, 0.0000), Nd at (0.0837, 0.0000, 0.7503), Nd at (0.1665, 0.0000, 0.4992), Sm at (0.0830, 0.5000, 0.2492), Y at (0.0000, 0.5000, 0.5000), Y at (0.1675, 0.5000, 0.0009) and Y at (0.2496, 0.0000, 0.2488).

(10)
VASP calculation (PBE) on an optimized crystal structure of NdSmY.

The total magnetic moment is 0.0 μB/cell. Its total energy is -5.299 eV per atom. For the energy relative to the lowest polymorph listed for this composition, the calculation gives 3 meV/atom. For the energy of formation from the pure elements, the calculation gives 0.1 eV/f.u. Its density of states at the Fermi level is 4.43 states/eV/f.u.

The space group is I4mm (No. 107) and the conventional cell measures 3.6309, 3.6309 and 15.3931 Å, with angles of 90.00, 90.00 and 90.00 degrees. The distinct sites, in fractional coordinates, are Nd at (0.0000, 0.0000, 0.0000), Sm at (0.0000, 0.0000, 0.6678) and Y at (0.0000, 0.0000, 0.3329).